# BC2

A geometry-optimized BC2 structure (PBE, the Alexandria database).

## Properties
energy of formation	0.32	eV per atom
space-group type	C2/m, No. 12
crystal system	monoclinic
offset from the most stable computed form	85	meV/atom

Lattice parameters (Å, degrees): 6.246 6.246 5.105 95.86 95.86 24.70
Element x y z (fractional)
B: 0.894 0.894 0.103
B: 0.226 0.226 0.290
B: 0.024 0.024 0.585
B: 0.356 0.356 0.772
C: 0.016 0.016 0.026
C: 0.327 0.327 0.122
C: 0.923 0.923 0.753
C: 0.662 0.662 0.323
C: 0.588 0.588 0.552
C: 0.234 0.234 0.849
C: 0.665 0.665 0.827
C: 0.585 0.585 0.048

# Rb2MnCu

A geometry-optimized Rb2MnCu structure (PBE, the Alexandria database).

## Properties
energy of formation	0.69	eV per atom
space-group type	I-42d, No. 122
crystal system	tetragonal
offset from the most stable computed form	0	meV/atom

Lattice parameters (Å, degrees): 12.829 12.829 9.391 46.92 46.92 90.00
Element x y z (fractional)
Mn: 0.500 0.500 0.000
Mn: 0.250 0.750 0.500
Cu: 0.000 0.000 0.000
Cu: 0.750 0.250 0.500
Rb: 0.800 0.125 0.250
Rb: 0.950 0.625 0.250
Rb: 0.375 0.200 0.750
Rb: 0.875 0.050 0.750

# Y2Ga2Cu3

A geometry-optimized Y2Ga2Cu3 structure (PBE, the Alexandria database).

## Properties
energy of formation	-0.42	eV per atom
space-group type	C2/m, No. 12
crystal system	monoclinic

Lattice parameters (Å, degrees): 4.161 5.552 6.461 111.21 90.00 112.01
Element x y z (fractional)
Y: 0.856 0.712 0.239
Y: 0.144 0.288 0.761
Ga: 0.853 0.706 0.761
Ga: 0.147 0.294 0.239
Cu: 0.500 0.000 0.000
Cu: 0.598 0.197 0.421
Cu: 0.402 0.803 0.579

# TbHo12Th5

A geometry-optimized TbHo12Th5 structure (PBE, the Alexandria database).

## Properties
energy of formation	0.04	eV per atom
space-group type	C2/m, No. 12
crystal system	monoclinic

Lattice parameters (Å, degrees): 10.593 10.640 6.148 106.86 90.00 60.15
Element x y z (fractional)
Tb: 0.000 0.000 0.000
Ho: 0.834 0.000 0.500
Ho: 0.166 0.000 0.500
Ho: 0.663 0.000 0.000
Ho: 0.337 0.000 0.000
Ho: 0.333 0.665 0.002
Ho: 0.002 0.665 0.002
Ho: 0.998 0.335 0.998
Ho: 0.667 0.335 0.998
Ho: 0.499 0.333 0.501
Ho: 0.832 0.667 0.499
Ho: 0.168 0.333 0.501
Ho: 0.501 0.667 0.499
Th: 0.500 0.000 0.500
Th: 0.167 0.665 0.495
Th: 0.833 0.335 0.505
Th: 0.667 0.667 0.998
Th: 0.333 0.333 0.002

# KTaTc3

A geometry-optimized KTaTc3 structure (PBE, the Alexandria database).

## Properties
energy of formation	2.81	eV per atom
space-group type	Pm-3m, No. 221
crystal system	cubic
offset from the most stable computed form	1116	meV/atom

Lattice parameters (Å, degrees): 4.436 4.436 4.436 90.00 90.00 90.00
Element x y z (fractional)
K: 0.000 0.000 0.000
Tc: 0.000 0.500 0.000
Tc: 0.000 0.000 0.500
Tc: 0.500 0.000 0.000
Ta: 0.500 0.500 0.500

# Ba2InBiP

A geometry-optimized Ba2InBiP structure (PBE, the Alexandria database).

## Properties
energy of formation	-0.74	eV per atom
space-group type	P2_1/m, No. 11
crystal system	monoclinic
offset from the most stable computed form	0	meV/atom

Lattice parameters (Å, degrees): 4.785 8.091 10.551 107.85 90.00 90.00
Element x y z (fractional)
Ba: 0.750 0.790 0.613
Ba: 0.750 0.778 0.023
Ba: 0.250 0.210 0.387
Ba: 0.250 0.222 0.977
In: 0.250 0.507 0.776
In: 0.750 0.493 0.224
Bi: 0.250 0.714 0.318
Bi: 0.750 0.286 0.682
P: 0.250 0.831 0.820
P: 0.750 0.169 0.180

# CsCaI2N

A geometry-optimized CsCaI2N structure (PBE, the Alexandria database).

## Properties
space-group type	P4/mmm, No. 123
crystal system	tetragonal
E_form (uncorrected)	-309.8	kJ/mol of formula units
offset from the most stable computed form	0	meV/atom

Lattice parameters (Å, degrees): 6.416 6.416 4.877 90.00 90.00 90.00
Element x y z (fractional)
Cs: 0.500 0.500 0.500
I: 0.000 0.500 0.000
I: 0.500 0.000 0.000
Ca: 0.000 0.000 0.000
N: 0.000 0.000 0.500

# CaAgPd

A geometry-optimized CaAgPd structure (PBE, the Alexandria database).

## Properties
energy of formation	-0.33	eV per atom
space-group type	F-43m, No. 216
crystal system	cubic
offset from the most stable computed form	178	meV/atom

Lattice parameters (Å, degrees): 4.680 4.680 4.680 60.00 60.00 60.00
Element x y z (fractional)
Ca: 0.500 0.500 0.500
Pd: 0.250 0.250 0.250
Ag: 0.000 0.000 0.000

# CaSc2Cd6

A geometry-optimized CaSc2Cd6 structure (PBE, the Alexandria database).

## Properties
energy of formation	-0.25	eV per atom
space-group type	P6/mmm, No. 191
crystal system	hexagonal

Lattice parameters (Å, degrees): 3.324 8.515 8.515 120.00 90.00 90.00
Element x y z (fractional)
Ca: 0.000 0.000 0.000
Sc: 0.000 0.333 0.667
Sc: 0.000 0.667 0.333
Cd: 0.500 0.337 0.337
Cd: 0.500 0.663 0.663
Cd: 0.500 0.000 0.663
Cd: 0.500 0.663 0.000
Cd: 0.500 0.337 0.000
Cd: 0.500 0.000 0.337

# La2Sm5TmTh

A geometry-optimized La2Sm5TmTh structure (PBE, the Alexandria database).

## Properties
energy of formation	0.14	eV per atom
space-group type	Cmc2_1, No. 36
crystal system	orthorhombic

Lattice parameters (Å, degrees): 5.706 10.653 10.657 90.00 90.00 105.53
Element x y z (fractional)
La: 0.884 0.767 0.816
La: 0.115 0.231 0.732
La: 0.116 0.233 0.316
La: 0.885 0.769 0.232
Sm: 0.387 0.774 0.024
Sm: 0.724 0.448 0.813
Sm: 0.482 0.963 0.743
Sm: 0.295 0.591 0.704
Sm: 0.984 0.969 0.520
Sm: 0.613 0.226 0.524
Sm: 0.276 0.552 0.313
Sm: 0.518 0.037 0.243
Sm: 0.705 0.409 0.204
Sm: 0.016 0.031 0.020
Tm: 0.594 0.188 0.961
Tm: 0.406 0.812 0.461
Th: 0.801 0.602 0.511
Th: 0.199 0.398 0.011

# BeMoOs2

A geometry-optimized BeMoOs2 structure (PBE, the Alexandria database).

## Properties
energy of formation	0.56	eV per atom
space-group type	I-42d, No. 122
crystal system	tetragonal

Lattice parameters (Å, degrees): 6.845 6.845 5.396 50.63 50.63 90.00
Element x y z (fractional)
Be: 0.500 0.500 0.000
Be: 0.250 0.750 0.500
Mo: 0.000 0.000 0.000
Mo: 0.750 0.250 0.500
Os: 0.545 0.125 0.250
Os: 0.205 0.625 0.250
Os: 0.375 0.455 0.750
Os: 0.875 0.795 0.750

# La4NdHoEr2

A geometry-optimized La4NdHoEr2 structure (PBE, the Alexandria database).

## Properties
energy of formation	0.08	eV per atom
space-group type	P4/mmm, No. 123
crystal system	tetragonal

Lattice parameters (Å, degrees): 5.978 5.981 9.783 52.33 90.03 90.04
Element x y z (fractional)
La: 0.000 0.758 0.742
La: 0.000 0.242 0.258
La: 0.500 0.743 0.257
La: 0.500 0.257 0.743
Nd: 0.500 0.500 0.000
Ho: 0.000 0.500 0.500
Er: 0.000 0.000 0.000
Er: 0.500 0.000 0.500

# In2NiSn2

A geometry-optimized In2NiSn2 structure (PBE, the Alexandria database).

## Properties
energy of formation	0.00	eV per atom
space-group type	I4_1/amd, No. 141
crystal system	tetragonal
offset from the most stable computed form	0	meV/atom

Lattice parameters (Å, degrees): 4.589 4.589 11.717 101.29 101.29 90.00
Element x y z (fractional)
In: 0.937 0.437 0.875
In: 0.687 0.687 0.375
In: 0.313 0.313 0.625
In: 0.563 0.063 0.125
Ni: 0.500 0.500 0.000
Ni: 0.750 0.250 0.500
Sn: 0.825 0.825 0.650
Sn: 0.075 0.575 0.150
Sn: 0.425 0.925 0.850
Sn: 0.175 0.175 0.350

# Cs3Tl4Ga

A geometry-optimized Cs3Tl4Ga structure (PBE, the Alexandria database).

## Properties
energy of formation	-0.07	eV per atom
space-group type	Pmmn, No. 59
crystal system	orthorhombic
offset from the most stable computed form	0	meV/atom

Lattice parameters (Å, degrees): 7.115 6.914 15.229 90.00 90.00 90.00
Element x y z (fractional)
Cs: 0.508 0.000 0.000
Cs: 0.492 0.500 0.500
Cs: 0.798 0.500 0.755
Cs: 0.798 0.500 0.245
Cs: 0.202 0.000 0.745
Cs: 0.202 0.000 0.255
Tl: 0.314 0.500 0.891
Tl: 0.314 0.500 0.109
Tl: 0.998 0.248 0.000
Tl: 0.998 0.752 0.000
Tl: 0.002 0.748 0.500
Tl: 0.002 0.252 0.500
Tl: 0.686 0.000 0.391
Tl: 0.686 0.000 0.609
Ga: 0.658 0.500 0.000
Ga: 0.342 0.000 0.500

# B3SeCl

A geometry-optimized B3SeCl structure (PBE, the Alexandria database).

## Properties
space-group type	Pm-3m, No. 221
crystal system	cubic
E_form (uncorrected)	1130.5	kJ/mol of formula units
offset from the most stable computed form	247	meV/atom

Lattice parameters (Å, degrees): 4.022 4.022 4.022 90.00 90.00 90.00
Element x y z (fractional)
B: 0.000 0.500 0.000
B: 0.000 0.000 0.500
B: 0.500 0.000 0.000
Se: 0.500 0.500 0.500
Cl: 0.000 0.000 0.000

# Ca12GaNi6

A geometry-optimized Ca12GaNi6 structure (PBE, the Alexandria database).

## Properties
energy of formation	-0.10	eV per atom
space-group type	Im-3, No. 204
crystal system	cubic

Lattice parameters (Å, degrees): 8.720 8.720 8.720 109.47 109.47 109.47
Element x y z (fractional)
Ca: 0.305 0.121 0.816
Ca: 0.305 0.488 0.184
Ca: 0.695 0.512 0.816
Ca: 0.695 0.879 0.184
Ca: 0.121 0.816 0.305
Ca: 0.488 0.184 0.305
Ca: 0.512 0.816 0.695
Ca: 0.879 0.184 0.695
Ca: 0.816 0.305 0.121
Ca: 0.184 0.305 0.488
Ca: 0.816 0.695 0.512
Ca: 0.184 0.695 0.879
Ga: 0.000 0.000 0.000
Ni: 0.386 0.500 0.886
Ni: 0.614 0.500 0.114
Ni: 0.500 0.886 0.386
Ni: 0.500 0.114 0.614
Ni: 0.886 0.386 0.500
Ni: 0.114 0.614 0.500

# La6TeOs2Cl3

A geometry-optimized La6TeOs2Cl3 structure (PBE, the Alexandria database).

## Properties
space-group type	C2/m, No. 12
crystal system	monoclinic
E_form (uncorrected)	-1365.2	kJ/mol of formula units

Lattice parameters (Å, degrees): 4.273 9.129 9.829 104.30 102.56 90.00
Element x y z (fractional)
La: 0.325 0.861 0.650
La: 0.676 0.563 0.352
La: 0.675 0.139 0.350
La: 0.023 0.271 0.046
La: 0.977 0.729 0.954
La: 0.324 0.437 0.648
Te: 0.500 0.000 0.000
Os: 0.832 0.657 0.664
Os: 0.168 0.343 0.336
Cl: 0.500 0.500 0.000
Cl: 0.839 0.152 0.677
Cl: 0.161 0.848 0.323

# Ho4TmSe6

A geometry-optimized Ho4TmSe6 structure (PBE, the Alexandria database).

## Properties
space-group type	Cmcm, No. 63
crystal system	orthorhombic
E_form (uncorrected)	-1898.5	kJ/mol of formula units

Lattice parameters (Å, degrees): 3.952 6.946 20.643 90.00 90.00 106.53
Element x y z (fractional)
Ho: 0.859 0.718 0.538
Ho: 0.411 0.822 0.127
Ho: 0.141 0.282 0.462
Ho: 0.589 0.178 0.873
Ho: 0.859 0.718 0.962
Ho: 0.141 0.282 0.038
Ho: 0.589 0.178 0.627
Ho: 0.411 0.822 0.373
Tm: 0.652 0.304 0.250
Tm: 0.348 0.696 0.750
Se: 0.500 0.000 0.000
Se: 0.500 0.000 0.500
Se: 0.054 0.108 0.333
Se: 0.946 0.892 0.667
Se: 0.946 0.892 0.833
Se: 0.054 0.108 0.167
Se: 0.769 0.539 0.409
Se: 0.231 0.461 0.591
Se: 0.231 0.461 0.909
Se: 0.769 0.539 0.091
Se: 0.307 0.614 0.250
Se: 0.693 0.386 0.750

# Sn3BiPb12

A geometry-optimized Sn3BiPb12 structure (PBE, the Alexandria database).

## Properties
energy of formation	0.03	eV per atom
space-group type	P4/mmm, No. 123
crystal system	tetragonal

Lattice parameters (Å, degrees): 5.998 5.998 13.755 90.00 90.00 90.00
Element x y z (fractional)
Sn: 0.000 0.000 0.255
Sn: 0.000 0.000 0.500
Sn: 0.000 0.000 0.745
Bi: 0.000 0.000 0.000
Pb: 0.500 0.500 0.000
Pb: 0.500 0.500 0.250
Pb: 0.500 0.500 0.500
Pb: 0.500 0.500 0.750
Pb: 0.500 0.000 0.127
Pb: 0.500 0.000 0.376
Pb: 0.500 0.000 0.624
Pb: 0.500 0.000 0.873
Pb: 0.000 0.500 0.127
Pb: 0.000 0.500 0.376
Pb: 0.000 0.500 0.624
Pb: 0.000 0.500 0.873

# V2InHgAs

A geometry-optimized V2InHgAs structure (PBE, the Alexandria database).

## Properties
energy of formation	1.31	eV per atom
space-group type	P4/mmm, No. 123
crystal system	tetragonal

Lattice parameters (Å, degrees): 5.265 5.068 5.265 90.00 90.00 90.00
Element x y z (fractional)
As: 0.000 0.500 0.000
V: 0.000 0.000 0.500
V: 0.500 0.000 0.000
Hg: 0.500 0.500 0.500
In: 0.000 0.000 0.000

# CaLa3Cl

A geometry-optimized CaLa3Cl structure (PBE, the Alexandria database).

## Properties
space-group type	Pm-3m, No. 221
crystal system	cubic
E_form (uncorrected)	282.9	kJ/mol of formula units
offset from the most stable computed form	1154	meV/atom

Lattice parameters (Å, degrees): 5.990 5.990 5.990 90.00 90.00 90.00
Element x y z (fractional)
Ca: 0.000 0.000 0.000
Cl: 0.500 0.500 0.500
La: 0.000 0.500 0.000
La: 0.000 0.000 0.500
La: 0.500 0.000 0.000

# NaSc3Pb

A geometry-optimized NaSc3Pb structure (PBE, the Alexandria database).

## Properties
energy of formation	0.48	eV per atom
space-group type	Pm-3m, No. 221
crystal system	cubic
offset from the most stable computed form	0	meV/atom

Lattice parameters (Å, degrees): 5.565 5.565 5.565 90.00 90.00 90.00
Element x y z (fractional)
Pb: 0.000 0.000 0.000
Sc: 0.000 0.500 0.000
Sc: 0.000 0.000 0.500
Sc: 0.500 0.000 0.000
Na: 0.500 0.500 0.500